Density functional theory data (PBE) for a geometry-optimized Pm3Ho4Tm5 structure.

## Properties
volume: 385 Å³ per cell
E: -4.333 eV/atom
size of the total moment: 0.189 μB/f.u.
space-group type: C2/m (12)
energy above the lowest structure with this stoichiometry: 223 meV per atom
calculated formation energy: 0.24 eV per atom
crystal system: monoclinic

abc: 5.8679 8.4517 9.5910
angles: 105.70 72.19 69.69
Last column: magnetic moment on the atom in μB.
Positions (direct):
Pm1 0.5236 0.6854 0.2675  0.00
Pm2 0.0000 0.5000 0.5000  0.06
Pm3 0.4764 0.3146 0.7325  0.00
Ho1 0.8598 0.2220 0.0584  0.00
Ho2 0.1687 0.0401 0.6224  0.00
Ho3 0.8313 0.9599 0.3776  0.00
Ho4 0.1402 0.7780 0.9416  0.00
Tm1 0.6236 0.9490 0.8038  0.01
Tm2 0.5000 0.5000 0.5000  0.08
Tm3 0.2150 0.4572 0.1128  0.01
Tm4 0.7850 0.5428 0.8872  0.01
Tm5 0.3764 0.0510 0.1962  0.01

***

Density functional theory data (PBE) for a geometry-optimized Pm5HoTm2 structure.

## Properties
volume: 524 Å³ per cell
E: -4.642 eV/atom
size of the total moment: 0.000 μB/f.u.
space-group type: Pbam (55)
energy above the lowest structure with this stoichiometry: 0 meV per atom
calculated formation energy: 0.02 eV per atom
crystal system: orthorhombic

abc: 5.0802 7.1834 14.3678
angles: 90.00 90.00 90.00
Positions (direct):
Pm1 0.0000 0.0000 0.0000
Pm2 0.0000 0.5000 0.5000
Pm3 0.0000 0.5014 0.7511
Pm4 0.0000 0.4986 0.2489
Pm5 0.0000 0.9986 0.2511
Pm6 0.0000 0.0014 0.7489
Pm7 0.5000 0.2518 0.8758
Pm8 0.5000 0.7482 0.1242
Pm9 0.5000 0.2482 0.3758
Pm10 0.5000 0.7518 0.6242
Ho1 0.0000 0.0000 0.5000
Ho2 0.0000 0.5000 0.0000
Tm1 0.5000 0.2504 0.6241
Tm2 0.5000 0.7496 0.3759
Tm3 0.5000 0.2496 0.1241
Tm4 0.5000 0.7504 0.8759

***

Which value of energy above the lowest structure with this stoichiometry does entry 2 give? 0 meV per atom